Record 1
Entry from Alexandria via LeMat-Bulk: a relaxed RbSbI4 crystal (PBE-GGA).

Unit cell a=9.932 b=9.932 c=7.785 alpha=106.18 beta=106.18 gamma=115.78
Positions (direct):
Rb (0.117, 0.883, 0.750)
Rb (0.883, 0.117, 0.250)
Sb (0.420, 0.580, 0.250)
Sb (0.580, 0.420, 0.750)
I (0.137, 0.542, 0.314)
I (0.229, 0.332, 0.797)
I (0.332, 0.229, 0.297)
I (0.458, 0.863, 0.186)
I (0.542, 0.137, 0.814)
I (0.668, 0.771, 0.703)
I (0.771, 0.668, 0.203)
I (0.863, 0.458, 0.686)

Its total magnetization is 0.00 μB/atom. As for the symmetry: C2/c. As for the calculated density: 4.03 g cm⁻³. Its uncorrected formation energy is -69 kJ per mole of atoms. For the distance to the lowest polymorph of the same formula, the calculation gives 0.0 meV per atom. The total energy comes out at -31.10 eV per cell.

Record 2
Entry from Alexandria via LeMat-Bulk: a relaxed PmTh5Sb6 crystal (PBE-GGA).

Unit cell a=7.798 b=7.798 c=7.807 alpha=99.59 beta=99.59 gamma=120.03
Positions (direct):
Pm (0.000, 0.000, 0.000)
Th (0.167, 0.833, 0.500)
Th (0.334, 0.666, 0.000)
Th (0.500, 0.500, 0.500)
Th (0.666, 0.334, 0.000)
Th (0.833, 0.167, 0.500)
Sb (0.083, 0.415, 0.249)
Sb (0.249, 0.249, 0.750)
Sb (0.415, 0.083, 0.249)
Sb (0.585, 0.917, 0.751)
Sb (0.751, 0.751, 0.250)
Sb (0.917, 0.585, 0.751)

Its total magnetization is 0.00 μB/atom. As for the symmetry: C2/m. As for the calculated density: 8.72 g cm⁻³. Its uncorrected formation energy is -92 kJ per mole of atoms. The total energy comes out at -78.06 eV per cell.

Record 3
Entry from Alexandria via LeMat-Bulk: a relaxed Cu2GePt2 crystal (PBE-GGA).

Unit cell a=4.179 b=4.179 c=5.251 alpha=113.25 beta=113.25 gamma=60.23
Positions (direct):
Cu (0.183, 0.183, 0.049)
Cu (0.817, 0.817, 0.951)
Ge (0.000, 0.000, 0.500)
Pt (0.397, 0.397, 0.691)
Pt (0.603, 0.603, 0.309)

Its total magnetization is 0.00 μB/atom. As for the symmetry: C2/m. As for the calculated density: 13.83 g cm⁻³. For the distance to the lowest polymorph of the same formula, the calculation gives 0.0 meV per atom. The total energy comes out at -26.15 eV per cell.

Record 4
Entry from Alexandria via LeMat-Bulk: a relaxed Si2Bi2S7 crystal (PBE-GGA).

Unit cell a=7.117 b=7.117 c=5.882 alpha=96.54 beta=96.54 gamma=102.71
Positions (direct):
Si (0.225, 0.225, 0.414)
Si (0.775, 0.775, 0.586)
Bi (0.305, 0.695, 0.000)
Bi (0.695, 0.305, 0.000)
S (0.000, 0.000, 0.500)
S (0.088, 0.418, 0.245)
S (0.392, 0.392, 0.729)
S (0.418, 0.088, 0.245)
S (0.582, 0.912, 0.755)
S (0.608, 0.608, 0.271)
S (0.912, 0.582, 0.755)

Its total magnetization is 0.00 μB/atom. As for the symmetry: C2/m. As for the calculated density: 4.06 g cm⁻³. Its uncorrected formation energy is -33 kJ per mole of atoms. The total energy comes out at -51.25 eV per cell.

Record 5
Entry from Alexandria via LeMat-Bulk: a relaxed VFeSn3 crystal (PBE-GGA).

Unit cell a=4.908 b=4.908 c=4.908 alpha=90.00 beta=90.00 gamma=90.00
Positions (direct):
V (0.000, 0.000, 0.000)
Fe (0.500, 0.500, 0.500)
Sn (0.000, 0.500, 0.500)
Sn (0.500, 0.000, 0.500)
Sn (0.500, 0.500, 0.000)

Its total magnetization is 0.96 μB/atom. As for the symmetry: Pm-3m. As for the calculated density: 6.50 g cm⁻³. For the distance to the lowest polymorph of the same formula, the calculation gives 0.0 meV per atom. The total energy comes out at -26.50 eV per cell.

Record 6
Entry from Alexandria via LeMat-Bulk: a relaxed Pm2SmIr crystal (PBE-GGA).

Unit cell a=9.466 b=9.466 c=9.466 alpha=24.61 beta=24.61 gamma=24.61
Positions (direct):
Pm (0.000, 0.000, 0.000)
Pm (0.218, 0.218, 0.218)
Sm (0.774, 0.774, 0.774)
Ir (0.609, 0.609, 0.609)

Its total magnetization is 0.00 μB/atom. As for the symmetry: R3m. As for the calculated density: 8.12 g cm⁻³. For the distance to the lowest polymorph of the same formula, the calculation gives 205.4 meV per atom. The total energy comes out at -24.17 eV per cell.

Record 7
Entry from Alexandria via LeMat-Bulk: a relaxed Ca2PrGa2 crystal (PBE-GGA).

Unit cell a=6.447 b=6.447 c=6.104 alpha=103.23 beta=103.23 gamma=37.37
Positions (direct):
Ca (0.146, 0.146, 0.078)
Ca (0.854, 0.854, 0.922)
Pr (0.500, 0.500, 0.500)
Ga (0.203, 0.203, 0.585)
Ga (0.797, 0.797, 0.415)

Its total magnetization is 0.00 μB/atom. As for the symmetry: C2/m. As for the calculated density: 4.01 g cm⁻³. The total energy comes out at -16.50 eV per cell.

Record 8
Entry from Alexandria via LeMat-Bulk: a relaxed CuPPtO2 crystal (PBE-GGA).

Unit cell a=3.507 b=3.507 c=6.552 alpha=90.00 beta=90.00 gamma=90.00
Positions (direct):
Cu (0.000, 0.000, 0.000)
P (0.000, 0.000, 0.500)
Pt (0.500, 0.500, 0.500)
O (0.000, 0.500, 0.000)
O (0.500, 0.000, 0.000)

Its total magnetization is 0.30 μB/atom. As for the symmetry: P4/mmm. As for the calculated density: 6.63 g cm⁻³. Its uncorrected formation energy is 34 kJ per mole of atoms. For the distance to the lowest polymorph of the same formula, the calculation gives 31.7 meV per atom. The total energy comes out at -23.72 eV per cell.